VASP calculation (GGA-PBE) on an optimized crystal structure of Pa2ZnSi2.

Lattice parameters (Å, degrees): 6.696 6.696 4.410 90.00 90.00 90.00
Fractional positions:
Pa1 0.178 0.322 0.000
Pa2 0.322 0.822 0.000
Pa3 0.678 0.178 0.000
Pa4 0.822 0.678 0.000
Zn1 0.000 0.000 0.500
Zn2 0.500 0.500 0.500
Si1 0.125 0.625 0.500
Si2 0.375 0.125 0.500
Si3 0.625 0.875 0.500
Si4 0.875 0.375 0.500

Values from the calculation:
DFT total energy = -6.621 eV/atom
M_tot = 0.000 μB/f.u.



VASP calculation (GGA-PBE) on an optimized crystal structure of ZrPaSi.

Lattice parameters (Å, degrees): 5.601 5.601 5.601 142.52 142.52 54.05
Fractional positions:
Zr1 0.000 0.000 0.000
Pa1 0.713 0.713 0.000
Si1 0.390 0.390 0.000

Values from the calculation:
DFT total energy = -8.052 eV/atom
M_tot = 0.279 μB/f.u.



VASP calculation (GGA-PBE) on an optimized crystal structure of ZrPaSi.

Lattice parameters (Å, degrees): 6.804 6.724 3.151 77.94 75.13 26.93
Fractional positions:
Zr1 0.000 0.000 0.000
Pa1 0.302 0.302 0.698
Si1 0.643 0.643 0.357

Values from the calculation:
DFT total energy = -8.047 eV/atom
M_tot = 0.000 μB/f.u.



VASP calculation (GGA-PBE) on an optimized crystal structure of ZrPa3Si6.

Lattice parameters (Å, degrees): 7.378 7.378 7.378 97.20 97.20 97.20
Fractional positions:
Zr1 0.000 0.000 0.000
Zr2 0.500 0.500 0.500
Pa1 0.188 0.750 0.312
Pa2 0.250 0.688 0.812
Pa3 0.312 0.188 0.750
Pa4 0.688 0.812 0.250
Pa5 0.750 0.312 0.188
Pa6 0.812 0.250 0.688
Si1 0.017 0.090 0.378
Si2 0.090 0.378 0.017
Si3 0.122 0.410 0.483
Si4 0.378 0.017 0.090
Si5 0.410 0.483 0.122
Si6 0.483 0.122 0.410
Si7 0.517 0.878 0.590
Si8 0.590 0.517 0.878
Si9 0.622 0.983 0.910
Si10 0.878 0.590 0.517
Si11 0.910 0.622 0.983
Si12 0.983 0.910 0.622

Values from the calculation:
DFT total energy = -7.486 eV/atom
M_tot = 0.000 μB/f.u.



VASP calculation (GGA-PBE) on an optimized crystal structure of ZrPa2Si2.

Lattice parameters (Å, degrees): 7.130 7.130 4.203 90.00 90.00 90.00
Fractional positions:
Zr1 0.000 0.000 0.000
Zr2 0.500 0.500 0.000
Pa1 0.180 0.320 0.500
Pa2 0.320 0.820 0.500
Pa3 0.680 0.180 0.500
Pa4 0.820 0.680 0.500
Si1 0.121 0.621 0.000
Si2 0.379 0.121 0.000
Si3 0.621 0.879 0.000
Si4 0.879 0.379 0.000

Values from the calculation:
DFT total energy = -8.237 eV/atom
M_tot = 0.000 μB/f.u.



VASP calculation (GGA-PBE) on an optimized crystal structure of ZrPaSi.

Lattice parameters (Å, degrees): 4.787 4.787 3.277 90.00 90.00 120.00
Fractional positions:
Zr1 0.000 0.000 0.000
Pa1 0.333 0.667 0.500
Si1 0.667 0.333 0.000

Values from the calculation:
DFT total energy = -7.899 eV/atom
M_tot = 0.000 μB/f.u.



In order of appearance, DOS(E_F) = 6.300, 5.629, 3.962, 11.116, 8.070, 4.934 states/eV/f.u..